Arrangement A

{
  "formula": "NbIr3Cl",
  "functional": "PBE",
  "state": "optimized geometry",
  "cell": [[4.4207, 0.0000, 0.0000], [0.0000, 4.4207, 0.0000], [0.0000, 0.0000, 4.4207]],
  "species": ["Nb", "Ir", "Ir", "Ir", "Cl"],
  "fractional_positions": [[0.0000, 0.0000, 0.0000], [0.0000, 0.5000, 0.5000], [0.5000, 0.0000, 0.5000], [0.5000, 0.5000, 0.0000], [0.5000, 0.5000, 0.5000]],
  "sg": "Pm-3m",
  "total_magnetization_mub_per_fu": 0.0
}

Arrangement B

{
  "formula": "NbIr3Cl",
  "functional": "PBE",
  "state": "optimized geometry",
  "cell": [[4.8557, 0.0000, 0.0000], [0.0000, 4.8557, 0.0000], [0.0000, 0.0000, 4.8557]],
  "species": ["Nb", "Ir", "Ir", "Ir", "Cl"],
  "fractional_positions": [[0.0000, 0.0000, 0.0000], [0.0000, 0.0000, 0.5000], [0.0000, 0.5000, 0.0000], [0.5000, 0.0000, 0.0000], [0.5000, 0.5000, 0.5000]],
  "sg": "Pm-3m",
  "total_magnetization_mub_per_fu": 1.2
}

The structure with the least stability is arrangement B.

Arrangement A

{
  "formula": "Nb3IrCl",
  "functional": "PBE",
  "state": "optimized geometry",
  "cell": [[4.4930, 0.0000, 0.0000], [0.0000, 4.4930, 0.0000], [0.0000, 0.0000, 4.4930]],
  "species": ["Nb", "Nb", "Nb", "Ir", "Cl"],
  "fractional_positions": [[0.0000, 0.0000, 0.5000], [0.0000, 0.5000, 0.0000], [0.5000, 0.0000, 0.0000], [0.5000, 0.5000, 0.5000], [0.0000, 0.0000, 0.0000]],
  "sg": "Pm-3m",
  "total_magnetization_mub_per_fu": 0.0
}

Arrangement B

{
  "formula": "Nb3IrCl",
  "functional": "PBE",
  "state": "optimized geometry",
  "cell": [[4.9382, 0.0000, 0.0000], [0.0000, 4.9382, 0.0000], [0.0000, 0.0000, 4.9382]],
  "species": ["Nb", "Nb", "Nb", "Ir", "Cl"],
  "fractional_positions": [[0.0000, 0.0000, 0.5000], [0.0000, 0.5000, 0.0000], [0.5000, 0.0000, 0.0000], [0.0000, 0.0000, 0.0000], [0.5000, 0.5000, 0.5000]],
  "sg": "Pm-3m",
  "total_magnetization_mub_per_fu": 0.0
}

The structure with the least stability is arrangement B.